Here is an optimized crystal structure of CdAs3N from Alexandria via LeMat-Bulk. Energies are from PBE.

E above lowest polymorph (meV/atom): 0
Total moment (Bohr magnetons per cell): 0.00
Energy relative to the elements, uncorrected (kJ per mole of atoms): 68.3

```
data_CdAs3N
_chemical_formula_sum 'Cd1 As3 N1'
_cell_length_a 4.451
_cell_length_b 4.451
_cell_length_c 4.451
_cell_angle_alpha 90.00
_cell_angle_beta 90.00
_cell_angle_gamma 90.00
_space_group_name_H-M_alt 'P m -3 m'
_space_group_IT_number 221
_space_group_name_Hall '-P 4 2 3'
loop_
_atom_site_label
_atom_site_type_symbol
_atom_site_fract_x
_atom_site_fract_y
_atom_site_fract_z
Cd1 Cd 0.000 0.000 0.000
As1 As 0.000 0.500 0.500
N1 N 0.500 0.500 0.500
```